The following is a DFT calculation (PBE) of a relaxed structure of CeGe2PtRh.

Structure (extended XYZ):
```
10
Lattice="-4.156 -0.818 -0.152 -1.713 -1.200 -5.793 -0.508 -8.344 -0.274" Properties=species:S:1:pos:R:3 pbc="T T T"
Ge -2.369 -9.022 -4.816
Ge -3.292 -4.458 -4.152
Ge -4.007 -1.340 -1.403
Ge -3.084 -5.904 -2.067
Rh -2.585 -8.354 -2.527
Rh -3.792 -2.009 -3.692
Pt -5.516 -3.961 -5.116
Pt -0.860 -6.401 -1.103
Ce -4.903 -7.161 -4.662
Ce -1.474 -3.202 -1.557
```

crystal system	monoclinic
E_form	-0.79	eV/atom

=====

The following is a DFT calculation (PBE) of a relaxed structure of Ce3Ge6PtRh2.

Structure (extended XYZ):
```
12
Lattice="6.183 0.000 0.000 -3.091 5.354 0.000 0.000 0.000 7.415" Properties=species:S:1:pos:R:3 pbc="T T T"
Ge 0.000 2.061 2.144
Ge 1.307 4.324 2.144
Ge -1.307 4.324 2.144
Ge 3.091 3.294 5.271
Ge 1.785 1.030 5.271
Ge 4.398 1.030 5.271
Rh 0.000 3.570 7.348
Rh 3.091 1.785 0.067
Pt 0.000 0.000 3.707
Ce 0.000 0.000 0.000
Ce 3.091 1.785 2.428
Ce 0.000 3.570 4.987
```

crystal system	trigonal
E_form	-0.45	eV/atom

=====

The following is a DFT calculation (PBE) of a relaxed structure of CeGe2Pt5Rh.

Structure (extended XYZ):
```
9
Lattice="4.038 0.000 0.000 0.000 4.038 0.000 0.000 0.000 9.674" Properties=species:S:1:pos:R:3 pbc="T T T"
Pt 2.019 2.019 4.837
Pt 2.019 0.000 7.035
Pt 0.000 2.019 2.639
Pt 2.019 0.000 2.639
Pt 0.000 2.019 7.035
Ge 2.019 2.019 8.496
Ge 2.019 2.019 1.178
Ce 0.000 0.000 4.837
Rh 0.000 0.000 0.000
```

crystal system	tetragonal
E_form	-0.46	eV/atom

=====

> Look up the E_form of the first one.

-0.79 eV/atom